Compound: LiZrNiB
Source: the Open Quantum Materials Database
Functional: PBE
Structure: relaxed

Its crystal system is cubic. Its energy above the most stable polymorph in this dataset is 44 meV per atom.

Cell: 5.7603 5.7603 5.7603 Å, 90.00 90.00 90.00°
Fractional coordinates of all 16 atoms:
Li 0.0000 0.0000 0.0000
Li 0.0000 0.5000 0.5000
Li 0.5000 0.0000 0.5000
Li 0.5000 0.5000 0.0000
Zr 0.2500 0.2500 0.7500
Zr 0.2500 0.7500 0.2500
Zr 0.7500 0.2500 0.2500
Zr 0.7500 0.7500 0.7500
Ni 0.0000 0.0000 0.5000
Ni 0.0000 0.5000 0.0000
Ni 0.5000 0.0000 0.0000
Ni 0.5000 0.5000 0.5000
B 0.2500 0.2500 0.2500
B 0.2500 0.7500 0.7500
B 0.7500 0.2500 0.7500
B 0.7500 0.7500 0.2500